Crystalline Mn5V4O12 at its relaxed geometry. Source: the Alexandria database, functional GGA+U.

- E (eV per atom) = -7.911
- crystal system = monoclinic

Cell: 8.9419 8.6404 13.5239 Å, 90.00 108.89 90.00°
Closest atoms and distances in Å follow each position.
Space group C2/c (No. 15)
Unique sites:
Mn  0.0000  0.1307  0.2500 (multiplicity 4)  4 O 2.06-2.08
Mn  0.1682  0.4984  0.8326 (multiplicity 8)  4 O 1.98-2.01
Mn  0.1700  0.3733  0.0831 (multiplicity 8)  4 O 2.06-2.09
V  0.0000  0.0000  0.0000 (multiplicity 4)  6 O 2.00-2.11
V  0.0838  0.2501  0.6659 (multiplicity 8)  6 O 2.02-2.10
V  0.2500  0.2500  0.5000 (multiplicity 4)  6 O 2.05-2.11
O  0.0237  0.2435  0.5054 (multiplicity 8)  3 V 2.05-2.11, 1 Mn 2.09
O  0.0745  0.0173  0.6560 (multiplicity 8)  2 V 2.00-2.02, 1 Mn 2.06
O  0.0895  0.4850  0.6780 (multiplicity 8)  2 Mn 1.98-2.06, 1 V 2.04
O  0.1468  0.2664  0.8263 (multiplicity 8)  2 Mn 2.01-2.08, 2 V 2.06-2.10
O  0.1850  0.2692  0.3400 (multiplicity 8)  2 Mn 2.01-2.08, 2 V 2.06-2.10
O  0.2385  0.0071  0.5119 (multiplicity 8)  2 Mn 2.00-2.08, 2 V 2.09-2.11